Computed, not measured: crystalline Tl2FeRe at its relaxed geometry at the GGA-PBE level of DFT.

Values from the calculation:
- Space group: I-42d
- E_tot: -4.905 eV per atom
- Energy relative to the elements: 1.5062 eV/atom

```
Tl2FeRe
1.0
-3.742 3.742 2.789
3.742 -3.742 2.789
3.742 3.742 -2.789
Tl Fe Re
4 2 2
Cartesian
5.613 1.702 -0.697
1.702 1.871 0.697
-1.871 2.041 2.092
2.041 1.871 3.486
0.000 0.000 0.000
0.000 3.742 1.394
3.742 0.000 1.394
0.000 0.000 2.789
```



Computed, not measured: crystalline TlFe2Re at its relaxed geometry at the GGA-PBE level of DFT.

Values from the calculation:
- Space group: I-42d
- E_tot: -6.919 eV per atom
- Energy relative to the elements: 1.0161 eV/atom

```
TlFe2Re
1.0
-3.442 3.442 2.781
3.442 -3.442 2.781
3.442 3.442 -2.781
Tl Fe Re
2 4 2
Cartesian
0.000 0.000 0.000
0.000 3.442 1.391
1.721 -1.335 2.086
2.107 1.721 0.695
1.721 4.777 -0.695
1.335 1.721 3.477
3.442 0.000 1.391
0.000 0.000 2.781
```



Q: Which total moment values were calculated for the entries above? A: 2.8 0.0, in μB/cell.